Model A:
3
Lattice="-4.199 2.077 0.128 -2.656 0.155 -3.858 -3.901 -2.584 -0.265" Properties=species:S:1:pos:R:3 comment="CaScTc PBE optimized geometry" n_ef_per_ev_atom=0.59 sg="F-43m (216)" magmom_total_mub_per_fu=0.00 pbc="T T T"
Ca 0.000 0.000 0.000
Sc -5.379 -0.176 -1.998
Tc -2.689 -0.088 -0.999

Model B:
3
Lattice="-3.251 -3.364 4.242 1.114 -1.974 5.894 0.085 4.719 -4.196" Properties=species:S:1:pos:R:3 comment="CaScTc PBE optimized geometry" n_ef_per_ev_atom=1.12 sg="I4mm (107)" magmom_total_mub_per_fu=0.00 pbc="T T T"
Sc -0.619 -1.545 2.934
Ca -0.043 -0.106 0.202
Tc -1.476 -3.686 7.000

Model C:
3
Lattice="4.829 0.000 0.000 -2.414 4.182 0.000 0.000 0.000 3.144" Properties=species:S:1:pos:R:3 comment="CaScTc PBE optimized geometry" n_ef_per_ev_atom=0.51 sg="P3m1 (156)" magmom_total_mub_per_fu=0.00 pbc="T T T"
Tc 0.000 2.788 1.712
Ca 0.000 0.000 3.115
Sc 2.414 1.394 1.461

It turns out model B is the most stable, with the second structure 0.181 eV/atom higher.

Model A:
5
Lattice="-1.966 -4.423 -2.060 2.866 -2.844 3.371 -3.948 0.138 3.473" Properties=species:S:1:pos:R:3 comment="CaSc3Te PBE optimized geometry" n_ef_per_ev_atom=1.13 sg="Pm-3m (221)" magmom_total_mub_per_fu=0.00 pbc="T T T"
Sc 1.433 -1.422 1.686
Sc -0.983 -2.211 -1.030
Sc -1.974 0.069 1.736
Te -1.524 -3.564 2.392
Ca 0.000 0.000 0.000

Model B:
5
Lattice="-1.018 -1.680 5.065 -4.592 -2.351 -1.703 2.719 -4.600 -0.979" Properties=species:S:1:pos:R:3 comment="CaSc3Te PBE optimized geometry" n_ef_per_ev_atom=2.11 sg="Pm-3m (221)" magmom_total_mub_per_fu=0.00 pbc="T T T"
Sc -0.509 -0.840 2.533
Sc -2.296 -1.176 -0.852
Sc 1.359 -2.300 -0.490
Ca -1.446 -4.316 1.191
Te 0.000 0.000 0.000

It turns out model B is the most stable, with the second structure 0.973 eV/atom higher.

Model A:
4
Lattice="-1.486 -1.609 -2.776 3.201 -0.957 -1.158 -0.612 -8.177 5.068" Properties=species:S:1:pos:R:3 comment="CaThSc2 PBE optimized geometry" n_ef_per_ev_atom=1.16 sg="P4/mmm (123)" magmom_total_mub_per_fu=0.00 pbc="T T T"
Th 0.858 -1.283 -1.967
Sc -0.474 -6.336 3.927
Sc -0.138 -1.841 1.141
Ca 0.552 -5.372 0.566

Model B:
4
Lattice="3.502 0.000 0.000 1.751 3.033 0.000 1.751 1.011 11.218" Properties=species:S:1:pos:R:3 comment="CaThSc2 PBE optimized geometry" n_ef_per_ev_atom=1.50 sg="R-3m (166)" magmom_total_mub_per_fu=0.00 pbc="T T T"
Ca 3.502 2.022 5.609
Sc 5.253 3.033 8.607
Sc 1.751 1.011 2.610
Th 0.000 0.000 0.000

Model C:
4
Lattice="3.734 0.000 0.000 0.000 5.578 0.000 0.000 0.000 5.578" Properties=species:S:1:pos:R:3 comment="CaThSc2 PBE optimized geometry" n_ef_per_ev_atom=1.28 sg="P4/mmm (123)" magmom_total_mub_per_fu=0.00 pbc="T T T"
Sc 0.000 0.000 2.789
Sc 0.000 2.789 0.000
Th 1.867 0.000 0.000
Ca 1.867 2.789 2.789

It turns out model A is the most stable, with the second structure 0.023 eV/atom higher.

Model A:
3
Lattice="3.500 0.000 0.000 0.000 3.500 0.000 -1.750 -1.750 7.850" Properties=species:S:1:pos:R:3 comment="CaThSc PBE optimized geometry" n_ef_per_ev_atom=1.28 sg="I4mm (107)" magmom_total_mub_per_fu=0.00 pbc="T T T"
Sc 1.750 1.750 2.776
Ca 0.000 0.000 0.061
Th 0.000 0.000 5.013

Model B:
6
Lattice="3.518 0.000 0.000 0.000 3.518 0.000 0.000 0.000 15.568" Properties=species:S:1:pos:R:3 comment="CaThSc PBE optimized geometry" n_ef_per_ev_atom=1.52 sg="P4/nmm (129)" magmom_total_mub_per_fu=0.00 pbc="T T T"
Th 1.759 0.000 11.173
Th 0.000 1.759 4.395
Ca 0.000 1.759 14.017
Ca 1.759 0.000 1.550
Sc 1.759 0.000 6.648
Sc 0.000 1.759 8.920

It turns out model B is the most stable, with the second structure 0.022 eV/atom higher.

Model A:
4
Lattice="0.000 3.881 3.881 3.881 0.000 3.881 3.881 3.881 0.000" Properties=species:S:1:pos:R:3 comment="Ca2ScTi PBE optimized geometry" n_ef_per_ev_atom=2.56 sg="Fm-3m (225)" magmom_total_mub_per_fu=2.59 pbc="T T T"
Ti 3.881 3.881 3.881
Ca 5.822 5.822 5.822
Ca 1.941 1.941 1.941
Sc 0.000 0.000 0.000

Model B:
8
Lattice="-4.006 -7.444 -1.500 2.213 -2.767 7.820 -3.577 -3.902 4.345" Properties=species:S:1:pos:R:3 comment="Ca2ScTi PBE optimized geometry" n_ef_per_ev_atom=0.69 sg="I-42d (122)" magmom_total_mub_per_fu=2.94 pbc="T T T"
Sc -0.896 -5.105 3.160
Sc -1.130 -5.887 7.662
Ti 0.000 0.000 0.000
Ti -4.239 -8.226 3.002
Ca -4.227 -11.891 8.874
Ca -3.165 -6.055 1.110
Ca -3.379 -6.725 5.543
Ca 0.032 -3.554 5.803

It turns out model A is the most stable, with the second structure 0.181 eV/atom higher.

Model A:
8
Lattice="-2.283 3.050 1.783 -3.137 -2.727 0.648 1.416 -2.320 10.741" Properties=species:S:1:pos:R:3 comment="CaScTi2 PBE optimized geometry" n_ef_per_ev_atom=1.01 sg="I-42d (122)" magmom_total_mub_per_fu=2.99 pbc="T T T"
Ti -3.730 -1.500 10.194
Ti -0.920 -1.575 8.957
Ti -1.856 -1.951 3.285
Ti -1.501 1.034 3.909
Sc 0.000 0.000 0.000
Sc -1.788 0.446 6.870
Ca -2.215 -2.443 6.303
Ca -2.710 0.162 1.216

Model B:
4
Lattice="-1.892 -4.591 -1.150 -4.930 -0.499 -1.195 -1.365 -1.066 -4.794" Properties=species:S:1:pos:R:3 comment="CaScTi2 PBE optimized geometry" n_ef_per_ev_atom=2.06 sg="Fm-3m (225)" magmom_total_mub_per_fu=4.03 pbc="T T T"
Ti -2.047 -1.539 -1.785
Ti -6.140 -4.617 -5.354
Sc -4.094 -3.078 -3.569
Ca 0.000 0.000 0.000

It turns out model B is the most stable, with the second structure 0.189 eV/atom higher.